w) Material: Nd2MgTi
Method: DFT, PBE
State: optimized geometry

Cell lengths 5.3406, 5.3406, 3.8855 Å; angles 90.00, 90.00, 90.00 degrees
Fractional positions:
Nd: 0.0000 0.5000 0.0000
Nd: 0.5000 0.0000 0.0000
Mg: 0.0000 0.0000 0.5000
Ti: 0.5000 0.5000 0.5000

* space group: P4/mmm (123)



x) Material: Nd2MgTi
Method: DFT, PBE
State: optimized geometry

Cell lengths 12.0886, 12.0886, 12.0886 Å; angles 15.55, 15.55, 15.55 degrees
Fractional positions:
Nd: 0.0826 0.0826 0.0826
Nd: 0.9174 0.9174 0.9174
Mg: 0.5000 0.5000 0.5000
Ti: 0.0000 0.0000 0.0000

* space group: R-3m (166)



y) Material: Nd2MgTi
Method: DFT, PBE
State: optimized geometry

Cell lengths 3.4529, 3.4529, 9.2209 Å; angles 90.00, 90.00, 90.00 degrees
Fractional positions:
Nd: 0.0000 0.0000 0.2339
Nd: 0.0000 0.0000 0.7661
Mg: 0.5000 0.5000 0.5000
Ti: 0.5000 0.5000 0.0000

* space group: P4/mmm (123)



Stability summary - winner: y); margin: 38 meV/atom.



w) Material: Nd3Mg2Tl
Method: DFT, PBE
State: optimized geometry

Cell lengths 3.8899, 3.8899, 11.7301 Å; angles 90.00, 90.00, 90.00 degrees
Fractional positions:
Nd: 0.0000 0.0000 0.0000
Nd: 0.0000 0.0000 0.3307
Nd: 0.0000 0.0000 0.6693
Mg: 0.5000 0.5000 0.1621
Mg: 0.5000 0.5000 0.8379
Tl: 0.5000 0.5000 0.5000

* space group: P4/mmm (123)



x) Material: Nd3Mg2Tl
Method: DFT, PBE
State: optimized geometry

Cell lengths 8.7072, 8.7072, 3.9169 Å; angles 90.00, 90.00, 143.40 degrees
Fractional positions:
Nd: 0.0000 0.0000 0.0000
Nd: 0.3335 0.6665 0.0000
Nd: 0.6665 0.3335 0.0000
Mg: 0.1712 0.8288 0.5000
Mg: 0.8288 0.1712 0.5000
Tl: 0.5000 0.5000 0.5000

* space group: Cmmm (65)



Stability summary - winner: x); margin: 15 meV/atom.



w) Material: Nd2Mg2Tl
Method: DFT, PBE
State: optimized geometry

Cell lengths 6.3195, 6.3195, 9.8681 Å; angles 106.34, 106.34, 48.63 degrees
Fractional positions:
Nd: 0.0460 0.0460 0.3470
Nd: 0.1700 0.1700 0.0636
Nd: 0.8300 0.8300 0.9364
Nd: 0.9540 0.9540 0.6530
Mg: 0.3645 0.3645 0.4184
Mg: 0.4830 0.4830 0.1400
Mg: 0.5170 0.5170 0.8600
Mg: 0.6355 0.6355 0.5816
Tl: 0.2553 0.2553 0.7017
Tl: 0.7447 0.7447 0.2983

* space group: C2/m (12)



x) Material: Nd2Mg2Tl
Method: DFT, PBE
State: optimized geometry

Cell lengths 5.3197, 5.3197, 6.6048 Å; angles 113.84, 113.84, 60.04 degrees
Fractional positions:
Nd: 0.1000 0.1000 0.2995
Nd: 0.9000 0.9000 0.7005
Mg: 0.3193 0.3193 0.9573
Mg: 0.6807 0.6807 0.0427
Tl: 0.5000 0.5000 0.5000

* space group: C2/m (12)



Stability summary - winner: x); margin: 5 meV/atom.



w) Material: Nd4MgTl2
Method: DFT, PBE
State: optimized geometry

Cell lengths 8.1211, 6.5542, 8.8539 Å; angles 90.00, 112.32, 90.00 degrees
Fractional positions:
Nd: 0.0197 0.2500 0.4889
Nd: 0.1717 0.5060 0.2200
Nd: 0.1717 0.9940 0.2200
Nd: 0.3308 0.2500 0.8915
Nd: 0.6692 0.7500 0.1085
Nd: 0.8283 0.0060 0.7800
Nd: 0.8283 0.4940 0.7800
Nd: 0.9803 0.7500 0.5111
Mg: 0.4231 0.7500 0.6896
Mg: 0.5769 0.2500 0.3104
Tl: 0.2207 0.7500 0.9089
Tl: 0.4402 0.2500 0.5736
Tl: 0.5598 0.7500 0.4264
Tl: 0.7793 0.2500 0.0911

* space group: P2_1/m (11)



x) Material: Nd4MgTl2
Method: DFT, PBE
State: optimized geometry

Cell lengths 9.1956, 9.1956, 9.1956 Å; angles 34.38, 34.38, 34.38 degrees
Fractional positions:
Nd: 0.1138 0.1138 0.1138
Nd: 0.3676 0.3676 0.3676
Nd: 0.6324 0.6324 0.6324
Nd: 0.8862 0.8862 0.8862
Mg: 0.5000 0.5000 0.5000
Tl: 0.2420 0.2420 0.2420
Tl: 0.7580 0.7580 0.7580

* space group: R-3m (166)



Stability summary - winner: x); margin: 85 meV/atom.